Entry 1:
Here is a relaxed structure of Cd2BO from Alexandria via LeMat-Bulk. Energies are from PBE-GGA.

Lattice parameters (Å, degrees): 5.7815 5.7815 8.2607 90.00 90.00 90.00
Space group I-42d (No. 122)
One atom of each set of equivalent atoms:
Cd1 0.2346 0.2500 0.1250 (multiplicity 8)
B1 0.0000 0.0000 0.5000 (multiplicity 4)
O1 0.0000 0.0000 0.0000 (multiplicity 4)

Computed properties:
- V: 69 Å³/f.u.
- E_form (uncorrected): 114 kJ/mol of formula units
- Density of states at the Fermi level: 0.222 states/eV/atom
- Calculated total energy: -3.0709 eV/atom
- Energy above the lowest structure with this stoichiometry: 0 meV/atom


Entry 2:
Here is a relaxed structure of Cd2B2O5 from Alexandria via LeMat-Bulk. Energies are from PBE-GGA.

Lattice parameters (Å, degrees): 8.0680 6.7542 5.8474 90.00 118.59 90.00
Space group C2/m (No. 12)
One atom of each set of equivalent atoms:
Cd1 0.1191 0.0000 0.3341 (multiplicity 4)
B1 0.1765 0.5000 0.0149 (multiplicity 4)
O1 0.0000 0.5000 0.0000 (multiplicity 2)
O2 0.1668 0.0000 0.7382 (multiplicity 4)
O3 0.1835 0.5000 0.7882 (multiplicity 4)

Computed properties:
- V: 140 Å³/f.u.
- E_form (uncorrected): -1428 kJ/mol of formula units
- Density of states at the Fermi level: 0.000 states/eV/atom
- Calculated total energy: -6.0864 eV/atom


Entry 3:
Here is a relaxed structure of CdB2PO6 from Alexandria via LeMat-Bulk. Energies are from PBE-GGA.

Lattice parameters (Å, degrees): 11.6749 11.4143 4.5743 90.00 108.77 90.00
Space group C2/c (No. 15)
One atom of each set of equivalent atoms:
Cd1 0.0000 0.0823 0.2500 (multiplicity 4)
B1 0.1754 0.4608 0.0105 (multiplicity 8)
P1 0.0000 0.2945 0.7500 (multiplicity 4)
O1 0.0775 0.2273 0.6009 (multiplicity 8)
O2 0.0838 0.3834 0.0039 (multiplicity 8)
O3 0.2218 0.4725 0.7695 (multiplicity 8)

Computed properties:
- V: 144 Å³/f.u.
- E_form (uncorrected): -1945 kJ/mol of formula units
- Density of states at the Fermi level: 0.115 states/eV/atom
- Calculated total energy: -6.9586 eV/atom


Entry 4:
Here is a relaxed structure of Cd3BPO7 from Alexandria via LeMat-Bulk. Energies are from PBE-GGA.

Lattice parameters (Å, degrees): 13.5487 9.0109 5.1599 90.00 90.00 90.00
Space group Pna2_1 (No. 33)
One atom of each set of equivalent atoms:
Cd1 0.0958 0.0833 0.0000 (multiplicity 4)
Cd2 0.1343 0.5984 0.4923 (multiplicity 4)
Cd3 0.2484 0.2638 0.4920 (multiplicity 4)
B1 0.2225 0.9348 0.4895 (multiplicity 4)
P1 0.0014 0.7275 0.0128 (multiplicity 4)
O1 0.0060 0.1164 0.3838 (multiplicity 4)
O2 0.0065 0.7457 0.3144 (multiplicity 4)
O3 0.0915 0.3630 0.4313 (multiplicity 4)
O4 0.0958 0.6433 0.9278 (multiplicity 4)
O5 0.2157 0.0458 0.6768 (multiplicity 4)
O6 0.2184 0.9692 0.2256 (multiplicity 4)
O7 0.2380 0.7883 0.5602 (multiplicity 4)

Computed properties:
- V: 157 Å³/f.u.
- E_form (uncorrected): -2064 kJ/mol of formula units
- Density of states at the Fermi level: 0.000 states/eV/atom
- Calculated total energy: -5.9106 eV/atom